4
Lattice="1.6065 0.9275 9.0931 -1.6065 0.9275 9.0931 0.0000 -1.8551 9.0931" Properties=species:S:1:pos:R:3 comment="ScIrBr2 (GGA-PBEsol, relaxed)" formation_energy_uncorrected_ev_per_fu=0.35 final_energy_ev_per_cell=-19.8 pbc="T T T"
Sc 0.0000 0.0000 0.0000
Ir 0.0000 0.0000 13.6396
Br 0.0000 0.0000 7.2400
Br 0.0000 0.0000 20.0392


4
Lattice="0.0000 3.3601 3.3601 3.3601 0.0000 3.3601 3.3601 3.3601 0.0000" Properties=species:S:1:pos:R:3 comment="ScIrBr2 (GGA-PBEsol, relaxed)" formation_energy_uncorrected_ev_per_fu=0.44 final_energy_ev_per_cell=-19.7 pbc="T T T"
Sc 0.0000 0.0000 0.0000
Ir 5.0401 5.0401 5.0401
Br 1.6800 1.6800 1.6800
Br 3.3601 3.3601 3.3601


4
Lattice="-1.8835 1.8835 5.1486 1.8835 -1.8835 5.1486 1.8835 1.8835 -5.1486" Properties=species:S:1:pos:R:3 comment="Sc2IrBr (GGA-PBEsol, relaxed)" formation_energy_uncorrected_ev_per_fu=-1.98 final_energy_ev_per_cell=-26.9 pbc="T T T"
Sc 0.0000 0.0000 0.0000
Sc 0.0000 1.8835 2.5743
Ir 1.8835 0.0000 2.5743
Br 0.0000 0.0000 5.1486


4
Lattice="3.1166 0.0000 0.0000 0.0000 3.2231 0.0000 0.0000 0.0000 7.6909" Properties=species:S:1:pos:R:3 comment="Sc2IrBr (GGA-PBEsol, relaxed)" formation_energy_uncorrected_ev_per_fu=-3.47 final_energy_ev_per_cell=-28.4 pbc="T T T"
Sc 0.0000 0.0000 1.6092
Sc 0.0000 0.0000 6.0817
Ir 1.5583 1.6116 0.0000
Br 1.5583 1.6116 3.8454


| no. | mass density (Mg/m³) |
| --- | --- |
| 1 | 8.109 |
| 2 | 8.688 |
| 3 | 8.228 |
| 4 | 7.782 |